[1]
First-principles (PBE-GGA) data for a relaxed SmMgBiPd crystal, as listed in Alexandria via LeMat-Bulk.

Structure (POSCAR):
```
SmMgBiPd
1.0
-3.609 -1.367 -3.402
-4.533 -1.795 1.641
-4.244 2.858 -0.536
Mg Pd Bi Sm
1 1 1 1
Cartesian
-9.289 -0.228 -1.723
0.000 0.000 0.000
-6.193 -0.152 -1.149
-3.096 -0.076 -0.574
```

Output
- formation energy (eV/atom) = -0.52
- space group = F-43m, No. 216
- magnetic moment (μB/f.u.) = 0.0

[2]
First-principles (PBE-GGA) data for a relaxed SmTm8Hg2 crystal, as listed in Alexandria via LeMat-Bulk.

Structure (POSCAR):
```
SmTm8Hg2
1.0
5.441 -0.211 -0.317
-1.220 8.423 -0.550
-1.220 -3.752 7.561
Sm Tm Hg
1 8 2
Cartesian
2.720 -0.106 -0.158
2.914 4.920 4.347
2.914 2.117 6.215
0.159 2.741 4.115
1.501 5.561 1.127
1.501 -1.102 5.566
2.843 1.718 2.579
0.088 2.343 0.479
0.088 -0.461 2.346
-1.220 -0.012 5.069
-1.220 4.683 1.941
```

Output
- formation energy (eV/atom) = -0.04
- space group = C2/m, No. 12
- magnetic moment (μB/f.u.) = 0.0

[3]
First-principles (PBE-GGA) data for a relaxed Cs2MgH2I2 crystal, as listed in Alexandria via LeMat-Bulk.

Structure (POSCAR):
```
Cs2MgH2I2
1.0
-4.521 -2.195 -0.366
2.212 -4.346 -1.268
1.580 0.926 9.598
Cs Mg H I
2 1 2 2
Cartesian
0.329 -1.811 6.783
-1.057 -3.804 1.181
0.000 0.000 0.000
1.106 -2.173 -0.634
-2.261 -1.097 -0.183
0.135 -0.743 2.782
-0.863 -4.872 5.182
```

Output
- raw total energy (eV per atom) = -2.567
- space group = I4/mmm, No. 139
- magnetic moment (μB/f.u.) = 0.0

[4]
First-principles (PBE-GGA) data for a relaxed SrScI2 crystal, as listed in Alexandria via LeMat-Bulk.

Structure (POSCAR):
```
SrScI2
1.0
4.142 -0.093 3.700
2.208 4.762 1.817
-0.902 1.666 5.222
I Sr Sc
2 1 1
Cartesian
1.362 1.584 2.685
4.086 4.752 8.054
2.724 3.168 5.369
0.000 0.000 0.000
```

Output
- formation energy (no corrections) (eV per atom) = -0.602
- space group = Fm-3m, No. 225
- magnetic moment (μB/f.u.) = 1.4
- energy above the most stable polymorph in this dataset (eV/atom) = 0.129

[5]
First-principles (PBE-GGA) data for a relaxed CrSb2Cl crystal, as listed in Alexandria via LeMat-Bulk.

Structure (POSCAR):
```
CrSb2Cl
1.0
5.940 0.000 0.000
0.000 4.138 0.000
0.000 0.000 4.138
Sb Cl Cr
2 1 1
Cartesian
0.000 0.000 0.000
0.000 2.069 2.069
2.970 2.069 0.000
2.970 0.000 2.069
```

Output
- formation energy (no corrections) (eV per atom) = 0.288
- space group = P4/mmm, No. 123
- magnetic moment (μB/f.u.) = 4.1
- energy above the most stable polymorph in this dataset (eV/atom) = 0.393

[6]
First-principles (PBE-GGA) data for a relaxed NbAlGa crystal, as listed in Alexandria via LeMat-Bulk.

Structure (POSCAR):
```
NbAlGa
1.0
2.836 0.000 0.000
0.000 4.463 0.000
0.000 -2.231 3.865
Nb Al Ga
1 1 1
Cartesian
2.836 0.000 0.000
1.419 0.000 2.577
1.418 2.231 1.288
```

Output
- formation energy (eV/atom) = -0.19
- space group = P-6m2, No. 187
- magnetic moment (μB/f.u.) = 0.0

[7]
First-principles (PBE-GGA) data for a relaxed MgTaAl2Br crystal, as listed in Alexandria via LeMat-Bulk.

Structure (POSCAR):
```
MgTaAl2Br
1.0
-3.710 -2.096 -2.725
3.053 -0.556 -3.730
1.299 -4.567 1.744
Mg Al Br Ta
1 2 1 1
Cartesian
0.000 0.000 0.000
0.649 -2.283 0.872
-1.855 -1.048 -1.362
1.527 -0.278 -1.865
0.321 -3.609 -2.355
```

Output
- formation energy (no corrections) (eV per atom) = 1.396
- space group = P4/mmm, No. 123
- magnetic moment (μB/f.u.) = 0.0

[8]
First-principles (PBE-GGA) data for a relaxed V3ZnGa crystal, as listed in Alexandria via LeMat-Bulk.

Structure (POSCAR):
```
V3ZnGa
1.0
4.508 0.000 -0.320
0.000 4.520 0.000
-1.773 0.000 6.947
V Zn Ga
6 2 2
Cartesian
2.303 1.130 0.529
0.432 3.390 6.097
0.044 3.390 0.662
2.495 1.130 3.233
0.240 3.390 3.393
2.690 1.130 5.964
2.395 3.390 1.850
0.340 1.130 4.777
0.143 1.130 2.023
2.591 3.390 4.604
```

Output
- formation energy (eV/atom) = -0.04
- space group = Cmcm, No. 63
- magnetic moment (μB/f.u.) = 0.1
- energy above the most stable polymorph in this dataset (eV/atom) = 0.000

[9]
First-principles (PBE-GGA) data for a relaxed MgPt3Rh crystal, as listed in Alexandria via LeMat-Bulk.

Structure (POSCAR):
```
MgPt3Rh
1.0
-1.443 0.512 4.585
3.555 -2.938 1.447
2.940 3.803 0.500
Mg Rh Pt
1 1 3
Cartesian
2.526 0.689 3.266
0.000 0.000 0.000
1.777 -1.469 0.723
1.470 1.902 0.250
-0.721 0.256 2.292
```

Output
- formation energy (eV/atom) = 0.89
- space group = Pm-3m, No. 221
- magnetic moment (μB/f.u.) = 2.2
- energy above the most stable polymorph in this dataset (eV/atom) = 1.285

[10]
First-principles (PBE-GGA) data for a relaxed MgSc7Pd4 crystal, as listed in Alexandria via LeMat-Bulk.

Structure (POSCAR):
```
MgSc7Pd4
1.0
-3.643 -2.390 -2.781
3.212 -6.570 -3.365
-2.765 -5.383 3.446
Mg Sc Pd
1 7 4
Cartesian
0.000 0.000 0.000
-1.534 -10.633 -3.262
-1.662 -3.710 0.562
1.051 -5.576 -1.389
-4.247 -8.767 -1.312
-1.090 -9.011 -0.435
-1.821 -1.195 -1.390
-2.106 -5.332 -2.265
-3.101 -6.322 -0.111
-0.094 -8.021 -2.590
-3.047 -11.073 -0.901
-0.149 -3.269 -1.799
```

Output
- formation energy (eV/atom) = -0.39
- space group = C2/m, No. 12
- magnetic moment (μB/f.u.) = 0.0

| no. | calculated volume (Å³/cell) |
| --- | --- |
| 1 | 96 |
| 2 | 328 |
| 3 | 231 |
| 4 | 121 |
| 5 | 102 |
| 6 | 49 |
| 7 | 124 |
| 8 | 139 |
| 9 | 113 |
| 10 | 251 |